1.
{"formula": "CaAl12O19", "functional": "PBEsol", "state": "optimized geometry", "energy_ev_per_fu": -249.3, "magmom_total_mub_per_atom": 0.000, "formation_energy_uncorrected_mev_per_atom": -3074, "lattice_angstrom": [[5.578, 0.000, 0.000], [-2.789, 4.831, 0.000], [0.000, 0.000, 21.814]], "species": ["Ca", "Ca", "Al", "Al", "Al", "Al", "Al", "Al", "Al", "Al", "Al", "Al", "Al", "Al", "Al", "Al", "Al", "Al", "Al", "Al", "Al", "Al", "Al", "Al", "Al", "Al", "O", "O", "O", "O", "O", "O", "O", "O", "O", "O", "O", "O", "O", "O", "O", "O", "O", "O", "O", "O", "O", "O", "O", "O", "O", "O", "O", "O", "O", "O", "O", "O", "O", "O", "O", "O", "O", "O"], "frac_coords": [[0.333, 0.667, 0.250], [0.667, 0.333, 0.750], [0.000, 0.000, 0.000], [0.000, 0.000, 0.250], [0.000, 0.000, 0.500], [0.000, 0.000, 0.750], [0.168, 0.336, 0.110], [0.168, 0.336, 0.390], [0.168, 0.832, 0.110], [0.168, 0.832, 0.390], [0.333, 0.667, 0.529], [0.333, 0.667, 0.691], [0.333, 0.667, 0.809], [0.333, 0.667, 0.971], [0.336, 0.168, 0.610], [0.336, 0.168, 0.890], [0.664, 0.832, 0.110], [0.664, 0.832, 0.390], [0.667, 0.333, 0.029], [0.667, 0.333, 0.191], [0.667, 0.333, 0.309], [0.667, 0.333, 0.471], [0.832, 0.168, 0.610], [0.832, 0.168, 0.890], [0.832, 0.664, 0.610], [0.832, 0.664, 0.890], [0.000, 0.000, 0.151], [0.000, 0.000, 0.349], [0.000, 0.000, 0.651], [0.000, 0.000, 0.849], [0.007, 0.503, 0.150], [0.007, 0.503, 0.350], [0.155, 0.309, 0.553], [0.155, 0.309, 0.947], [0.155, 0.845, 0.553], [0.155, 0.845, 0.947], [0.182, 0.364, 0.750], [0.182, 0.818, 0.750], [0.309, 0.155, 0.053], [0.309, 0.155, 0.447], [0.333, 0.667, 0.055], [0.333, 0.667, 0.445], [0.364, 0.182, 0.250], [0.497, 0.503, 0.150], [0.497, 0.503, 0.350], [0.497, 0.993, 0.150], [0.497, 0.993, 0.350], [0.503, 0.007, 0.650], [0.503, 0.007, 0.850], [0.503, 0.497, 0.650], [0.503, 0.497, 0.850], [0.636, 0.818, 0.750], [0.667, 0.333, 0.555], [0.667, 0.333, 0.945], [0.691, 0.845, 0.553], [0.691, 0.845, 0.947], [0.818, 0.182, 0.250], [0.818, 0.636, 0.250], [0.845, 0.155, 0.053], [0.845, 0.155, 0.447], [0.845, 0.691, 0.053], [0.845, 0.691, 0.447], [0.993, 0.497, 0.650], [0.993, 0.497, 0.850]]}

2.
{"formula": "Ca6Al7O16", "functional": "PBEsol", "state": "optimized geometry", "energy_ev_per_fu": -213.4, "magmom_total_mub_per_atom": 0.000, "formation_energy_uncorrected_mev_per_atom": -3033, "lattice_angstrom": [[-5.999, 5.999, 5.999], [5.999, -5.999, 5.999], [5.999, 5.999, -5.999]], "species": ["Ca", "Ca", "Ca", "Ca", "Ca", "Ca", "Ca", "Ca", "Ca", "Ca", "Ca", "Ca", "Al", "Al", "Al", "Al", "Al", "Al", "Al", "Al", "Al", "Al", "Al", "Al", "Al", "Al", "O", "O", "O", "O", "O", "O", "O", "O", "O", "O", "O", "O", "O", "O", "O", "O", "O", "O", "O", "O", "O", "O", "O", "O", "O", "O", "O", "O", "O", "O", "O", "O"], "frac_coords": [[0.113, 0.363, 0.750], [0.137, 0.250, 0.387], [0.250, 0.387, 0.137], [0.250, 0.863, 0.613], [0.363, 0.750, 0.113], [0.387, 0.137, 0.250], [0.613, 0.250, 0.863], [0.637, 0.887, 0.750], [0.750, 0.113, 0.363], [0.750, 0.637, 0.887], [0.863, 0.613, 0.250], [0.887, 0.750, 0.637], [0.000, 0.466, 0.500], [0.000, 0.966, 0.500], [0.034, 0.034, 0.034], [0.125, 0.875, 0.250], [0.250, 0.125, 0.875], [0.375, 0.625, 0.750], [0.466, 0.500, 0.000], [0.500, 0.000, 0.466], [0.500, 0.000, 0.966], [0.534, 0.534, 0.534], [0.625, 0.750, 0.375], [0.750, 0.375, 0.625], [0.875, 0.250, 0.125], [0.966, 0.500, 0.000], [0.000, 0.133, 0.500], [0.000, 0.633, 0.500], [0.022, 0.207, 0.116], [0.092, 0.884, 0.406], [0.094, 0.978, 0.685], [0.116, 0.022, 0.207], [0.133, 0.500, 0.000], [0.185, 0.478, 0.594], [0.207, 0.116, 0.022], [0.293, 0.315, 0.908], [0.315, 0.908, 0.293], [0.367, 0.367, 0.367], [0.384, 0.592, 0.906], [0.406, 0.092, 0.884], [0.408, 0.815, 0.793], [0.478, 0.594, 0.185], [0.500, 0.000, 0.133], [0.500, 0.000, 0.633], [0.522, 0.616, 0.707], [0.592, 0.906, 0.384], [0.594, 0.185, 0.478], [0.616, 0.707, 0.522], [0.633, 0.500, 0.000], [0.685, 0.094, 0.978], [0.707, 0.522, 0.616], [0.793, 0.408, 0.815], [0.815, 0.793, 0.408], [0.867, 0.867, 0.867], [0.884, 0.406, 0.092], [0.906, 0.384, 0.592], [0.908, 0.293, 0.315], [0.978, 0.685, 0.094]]}

3.
{"formula": "CaAl12O19", "functional": "PBEsol", "state": "optimized geometry", "energy_ev_per_fu": -249.3, "magmom_total_mub_per_atom": 0.000, "formation_energy_uncorrected_mev_per_atom": -3074, "lattice_angstrom": [[5.578, 0.000, 0.000], [-2.789, 4.830, 0.000], [0.000, 0.000, 21.836]], "species": ["Ca", "Ca", "Al", "Al", "Al", "Al", "Al", "Al", "Al", "Al", "Al", "Al", "Al", "Al", "Al", "Al", "Al", "Al", "Al", "Al", "Al", "Al", "Al", "Al", "Al", "Al", "O", "O", "O", "O", "O", "O", "O", "O", "O", "O", "O", "O", "O", "O", "O", "O", "O", "O", "O", "O", "O", "O", "O", "O", "O", "O", "O", "O", "O", "O", "O", "O", "O", "O", "O", "O", "O", "O"], "frac_coords": [[0.333, 0.667, 0.000], [0.667, 0.333, 0.500], [0.000, 0.000, 0.248], [0.000, 0.000, 0.494], [0.000, 0.000, 0.748], [0.000, 0.000, 0.994], [0.168, 0.336, 0.138], [0.168, 0.832, 0.138], [0.169, 0.337, 0.857], [0.169, 0.831, 0.857], [0.333, 0.667, 0.277], [0.333, 0.667, 0.439], [0.333, 0.667, 0.557], [0.333, 0.667, 0.719], [0.336, 0.168, 0.638], [0.337, 0.169, 0.357], [0.663, 0.831, 0.857], [0.664, 0.832, 0.138], [0.667, 0.333, 0.057], [0.667, 0.333, 0.219], [0.667, 0.333, 0.777], [0.667, 0.333, 0.939], [0.831, 0.169, 0.357], [0.831, 0.663, 0.357], [0.832, 0.168, 0.638], [0.832, 0.664, 0.638], [0.000, 0.000, 0.098], [0.000, 0.000, 0.399], [0.000, 0.000, 0.598], [0.000, 0.000, 0.899], [0.006, 0.503, 0.897], [0.007, 0.504, 0.098], [0.154, 0.309, 0.301], [0.154, 0.846, 0.301], [0.155, 0.310, 0.696], [0.155, 0.845, 0.696], [0.182, 0.364, 0.498], [0.182, 0.818, 0.498], [0.309, 0.154, 0.801], [0.310, 0.155, 0.196], [0.333, 0.667, 0.193], [0.333, 0.667, 0.803], [0.364, 0.182, 0.998], [0.496, 0.504, 0.098], [0.496, 0.993, 0.098], [0.497, 0.503, 0.897], [0.497, 0.994, 0.897], [0.503, 0.006, 0.397], [0.503, 0.497, 0.397], [0.504, 0.007, 0.598], [0.504, 0.496, 0.598], [0.636, 0.818, 0.498], [0.667, 0.333, 0.303], [0.667, 0.333, 0.693], [0.690, 0.845, 0.696], [0.691, 0.846, 0.301], [0.818, 0.182, 0.998], [0.818, 0.636, 0.998], [0.845, 0.155, 0.196], [0.845, 0.690, 0.196], [0.846, 0.154, 0.801], [0.846, 0.691, 0.801], [0.993, 0.496, 0.598], [0.994, 0.497, 0.397]]}

4.
{"formula": "Ca4Al6O13", "functional": "PBEsol", "state": "optimized geometry", "energy_ev_per_fu": -171.1, "magmom_total_mub_per_atom": 0.012, "formation_energy_uncorrected_mev_per_atom": -3033, "lattice_angstrom": [[-4.398, 4.398, 4.398], [4.398, -4.398, 4.398], [4.398, 4.398, -4.398]], "species": ["Ca", "Ca", "Ca", "Ca", "Al", "Al", "Al", "Al", "Al", "Al", "O", "O", "O", "O", "O", "O", "O", "O", "O", "O", "O", "O", "O"], "frac_coords": [[0.000, 0.000, 0.692], [0.000, 0.692, 0.000], [0.308, 0.308, 0.308], [0.692, 0.000, 0.000], [0.250, 0.500, 0.750], [0.250, 0.750, 0.500], [0.500, 0.250, 0.750], [0.500, 0.750, 0.250], [0.750, 0.250, 0.500], [0.750, 0.500, 0.250], [0.000, 0.000, 0.000], [0.000, 0.453, 0.731], [0.000, 0.731, 0.453], [0.269, 0.269, 0.721], [0.269, 0.721, 0.269], [0.279, 0.547, 0.547], [0.453, 0.000, 0.731], [0.453, 0.731, 0.000], [0.547, 0.279, 0.547], [0.547, 0.547, 0.279], [0.721, 0.269, 0.269], [0.731, 0.000, 0.453], [0.731, 0.453, 0.000]]}

5.
{"formula": "Ca2AlP2O9", "functional": "PBEsol", "state": "optimized geometry", "energy_ev_per_fu": -104.6, "magmom_total_mub_per_atom": 0.075, "formation_energy_uncorrected_mev_per_atom": -2670, "lattice_angstrom": [[7.664, 0.000, 0.000], [0.000, 5.563, 0.000], [-3.311, 0.000, 7.582]], "species": ["Ca", "Ca", "Ca", "Ca", "Al", "Al", "P", "P", "P", "P", "O", "O", "O", "O", "O", "O", "O", "O", "O", "O", "O", "O", "O", "O", "O", "O", "O", "O"], "frac_coords": [[0.182, 0.250, 0.086], [0.201, 0.750, 0.749], [0.799, 0.250, 0.251], [0.818, 0.750, 0.914], [0.500, 0.000, 0.500], [0.500, 0.500, 0.500], [0.083, 0.750, 0.311], [0.490, 0.250, 0.827], [0.510, 0.750, 0.173], [0.917, 0.250, 0.689], [0.005, 0.750, 0.454], [0.016, 0.526, 0.192], [0.016, 0.974, 0.192], [0.298, 0.750, 0.055], [0.309, 0.750, 0.404], [0.350, 0.250, 0.388], [0.367, 0.250, 0.931], [0.437, 0.023, 0.703], [0.437, 0.477, 0.703], [0.563, 0.523, 0.297], [0.563, 0.977, 0.297], [0.633, 0.750, 0.069], [0.650, 0.750, 0.612], [0.691, 0.250, 0.596], [0.702, 0.250, 0.945], [0.984, 0.026, 0.808], [0.984, 0.474, 0.808], [0.995, 0.250, 0.546]]}

6.
{"formula": "CaAlPO2", "functional": "PBEsol", "state": "optimized geometry", "energy_ev_per_fu": -22.9, "magmom_total_mub_per_atom": 0.355, "formation_energy_uncorrected_mev_per_atom": -72, "lattice_angstrom": [[4.091, 0.000, 0.000], [0.000, 4.091, 0.000], [0.000, 0.000, 5.599]], "species": ["Ca", "Al", "P", "O", "O"], "frac_coords": [[0.000, 0.000, 0.000], [0.500, 0.500, 0.500], [0.000, 0.000, 0.500], [0.000, 0.500, 0.000], [0.500, 0.000, 0.000]]}

7.
{"formula": "CaAlPtO2", "functional": "PBEsol", "state": "optimized geometry", "energy_ev_per_fu": -23.1, "magmom_total_mub_per_atom": 0.032, "formation_energy_uncorrected_mev_per_atom": 112, "lattice_angstrom": [[4.078, 0.000, 0.000], [0.000, 4.078, 0.000], [0.000, 0.000, 5.213]], "species": ["Ca", "Al", "Pt", "O", "O"], "frac_coords": [[0.000, 0.000, 0.000], [0.500, 0.500, 0.000], [0.000, 0.000, 0.500], [0.000, 0.500, 0.500], [0.500, 0.000, 0.500]]}

8.
{"formula": "Ca4Al6SO16", "functional": "PBEsol", "state": "optimized geometry", "de_polymorph_ev_per_fu": 0.00, "energy_ev_per_fu": -199.3, "magmom_total_mub_per_atom": 0.000, "formation_energy_uncorrected_mev_per_atom": -2882, "lattice_angstrom": [[12.993, 0.000, 0.000], [0.000, 13.144, 0.000], [0.000, 0.000, 9.168]], "species": ["Ca", "Ca", "Ca", "Ca", "Ca", "Ca", "Ca", "Ca", "Ca", "Ca", "Ca", "Ca", "Ca", "Ca", "Ca", "Ca", "Al", "Al", "Al", "Al", "Al", "Al", "Al", "Al", "Al", "Al", "Al", "Al", "Al", "Al", "Al", "Al", "Al", "Al", "Al", "Al", "Al", "Al", "Al", "Al", "S", "S", "S", "S", "O", "O", "O", "O", "O", "O", "O", "O", "O", "O", "O", "O", "O", "O", "O", "O", "O", "O", "O", "O", "O", "O", "O", "O", "O", "O", "O", "O", "O", "O", "O", "O", "O", "O", "O", "O", "O", "O", "O", "O", "O", "O", "O", "O", "O", "O", "O", "O", "O", "O", "O", "O", "O", "O", "O", "O", "O", "O", "O", "O", "O", "O", "O", "O"], "frac_coords": [[0.007, 0.245, 0.074], [0.007, 0.755, 0.574], [0.242, 0.027, 0.596], [0.242, 0.973, 0.096], [0.246, 0.435, 0.645], [0.246, 0.565, 0.145], [0.440, 0.250, 0.000], [0.440, 0.750, 0.500], [0.560, 0.250, 0.500], [0.560, 0.750, 0.000], [0.754, 0.435, 0.145], [0.754, 0.565, 0.645], [0.758, 0.027, 0.096], [0.758, 0.973, 0.596], [0.993, 0.245, 0.574], [0.993, 0.755, 0.074], [0.000, 0.000, 0.082], [0.000, 0.000, 0.582], [0.000, 0.500, 0.100], [0.000, 0.500, 0.600], [0.128, 0.378, 0.345], [0.128, 0.622, 0.845], [0.131, 0.131, 0.331], [0.131, 0.869, 0.831], [0.379, 0.378, 0.322], [0.379, 0.622, 0.822], [0.381, 0.130, 0.303], [0.381, 0.870, 0.803], [0.500, 0.000, 0.049], [0.500, 0.000, 0.549], [0.500, 0.500, 0.074], [0.500, 0.500, 0.574], [0.619, 0.130, 0.803], [0.619, 0.870, 0.303], [0.621, 0.378, 0.822], [0.621, 0.622, 0.322], [0.869, 0.131, 0.831], [0.869, 0.869, 0.331], [0.872, 0.378, 0.845], [0.872, 0.622, 0.345], [0.221, 0.236, 0.824], [0.221, 0.764, 0.324], [0.779, 0.236, 0.324], [0.779, 0.764, 0.824], [0.052, 0.400, 0.500], [0.052, 0.600, 0.000], [0.070, 0.095, 0.493], [0.070, 0.905, 0.993], [0.089, 0.255, 0.298], [0.089, 0.745, 0.798], [0.098, 0.063, 0.175], [0.098, 0.937, 0.675], [0.109, 0.461, 0.199], [0.109, 0.539, 0.699], [0.156, 0.273, 0.700], [0.156, 0.727, 0.200], [0.164, 0.237, 0.962], [0.164, 0.763, 0.462], [0.256, 0.395, 0.402], [0.256, 0.605, 0.902], [0.258, 0.104, 0.371], [0.258, 0.896, 0.871], [0.260, 0.132, 0.796], [0.260, 0.868, 0.296], [0.311, 0.308, 0.833], [0.311, 0.692, 0.333], [0.390, 0.467, 0.179], [0.390, 0.533, 0.679], [0.394, 0.052, 0.146], [0.394, 0.948, 0.646], [0.403, 0.256, 0.244], [0.403, 0.744, 0.744], [0.465, 0.108, 0.448], [0.465, 0.892, 0.948], [0.466, 0.392, 0.468], [0.466, 0.608, 0.968], [0.534, 0.392, 0.968], [0.534, 0.608, 0.468], [0.535, 0.108, 0.948], [0.535, 0.892, 0.448], [0.597, 0.256, 0.744], [0.597, 0.744, 0.244], [0.606, 0.052, 0.646], [0.606, 0.948, 0.146], [0.610, 0.467, 0.679], [0.610, 0.533, 0.179], [0.689, 0.308, 0.333], [0.689, 0.692, 0.833], [0.740, 0.132, 0.296], [0.740, 0.868, 0.796], [0.742, 0.104, 0.871], [0.742, 0.896, 0.371], [0.744, 0.395, 0.902], [0.744, 0.605, 0.402], [0.836, 0.237, 0.462], [0.836, 0.763, 0.962], [0.844, 0.273, 0.200], [0.844, 0.727, 0.700], [0.891, 0.461, 0.699], [0.891, 0.539, 0.199], [0.902, 0.063, 0.675], [0.902, 0.937, 0.175], [0.911, 0.255, 0.798], [0.911, 0.745, 0.298], [0.930, 0.095, 0.993], [0.930, 0.905, 0.493], [0.948, 0.400, 0.000], [0.948, 0.600, 0.500]]}

9.
{"formula": "Ca4Al6SO16", "functional": "PBEsol", "state": "optimized geometry", "de_polymorph_ev_per_fu": 0.17, "energy_ev_per_fu": -199.1, "magmom_total_mub_per_atom": 0.000, "formation_energy_uncorrected_mev_per_atom": -2876, "lattice_angstrom": [[-4.620, 4.620, 4.660], [4.620, -4.620, 4.660], [4.620, 4.620, -4.660]], "species": ["Ca", "Ca", "Ca", "Ca", "Al", "Al", "Al", "Al", "Al", "Al", "S", "O", "O", "O", "O", "O", "O", "O", "O", "O", "O", "O", "O", "O", "O", "O", "O"], "frac_coords": [[0.197, 0.266, 0.528], [0.331, 0.803, 0.069], [0.734, 0.262, 0.931], [0.738, 0.669, 0.472], [0.000, 0.000, 0.000], [0.003, 0.767, 0.262], [0.233, 0.495, 0.236], [0.259, 0.997, 0.764], [0.500, 0.500, 0.000], [0.505, 0.741, 0.738], [0.750, 0.250, 0.500], [0.026, 0.245, 0.076], [0.050, 0.974, 0.219], [0.051, 0.861, 0.515], [0.139, 0.654, 0.189], [0.169, 0.950, 0.924], [0.346, 0.535, 0.485], [0.375, 0.246, 0.810], [0.434, 0.625, 0.871], [0.437, 0.566, 0.190], [0.465, 0.949, 0.811], [0.643, 0.028, 0.354], [0.673, 0.289, 0.646], [0.711, 0.357, 0.385], [0.754, 0.563, 0.129], [0.755, 0.831, 0.781], [0.972, 0.327, 0.615]]}